No. 1
This record from the Alexandria database describes crystalline SrSiW at its relaxed geometry. The functional is PBE.

* Fermi-level density of states: 1.83 states/eV/cell
* calculated total energy: -6.05 eV/atom
* space-group type: No. 156
* formation energy (no corrections): 0.63 eV per atom

The structure in CIF format:
```
data_SrSiW
_cell_length_a 3.524
_cell_length_b 3.524
_cell_length_c 6.360
_cell_angle_alpha 90.00
_cell_angle_beta 90.00
_cell_angle_gamma 120.00
_symmetry_space_group_name_H-M 'P 1'
_symmetry_Int_Tables_number 1
_symmetry_space_group_name_Hall 'P 1'
loop_
_atom_site_label
_atom_site_fract_x
_atom_site_fract_y
_atom_site_fract_z
Sr1 0.000 0.000 0.000
Si1 0.333 0.667 0.627
W1 0.667 0.333 0.411
```



No. 2
This record from the Alexandria database describes crystalline MgRe2Hg at its relaxed geometry. The functional is PBE.

* Fermi-level density of states: 8.33 states/eV/cell
* energy of formation from the pure elements: 0.73 eV/atom
* calculated total energy: -5.97 eV/atom
* space-group type: No. 65
* ΔE to the lowest computed polymorph: 542.8 meV/atom

The structure in CIF format:
```
data_MgRe2Hg
_cell_length_a 5.353
_cell_length_b 9.161
_cell_length_c 2.763
_cell_angle_alpha 90.00
_cell_angle_beta 90.00
_cell_angle_gamma 90.00
_symmetry_space_group_name_H-M 'P 1'
_symmetry_Int_Tables_number 1
_symmetry_space_group_name_Hall 'P 1'
loop_
_atom_site_label
_atom_site_fract_x
_atom_site_fract_y
_atom_site_fract_z
Mg1 0.000 0.000 0.000
Mg2 0.500 0.500 0.000
Re1 0.250 0.250 0.500
Re2 0.250 0.750 0.500
Re3 0.750 0.250 0.500
Re4 0.750 0.750 0.500
Hg1 0.000 0.500 0.000
Hg2 0.500 0.000 0.000
```



No. 3
This record from the Alexandria database describes crystalline CePrY at its relaxed geometry. The functional is PBE.

* Fermi-level density of states: 11.26 states/eV/cell
* energy of formation from the pure elements: 0.20 eV/atom
* calculated total energy: -5.53 eV/atom
* space-group type: No. 1
* ΔE to the lowest computed polymorph: 121.6 meV/atom

The structure in CIF format:
```
data_CePrY
_cell_length_a 3.549
_cell_length_b 5.926
_cell_length_c 9.641
_cell_angle_alpha 106.49
_cell_angle_beta 100.35
_cell_angle_gamma 90.07
_symmetry_space_group_name_H-M 'P 1'
_symmetry_Int_Tables_number 1
_symmetry_space_group_name_Hall 'P 1'
loop_
_atom_site_label
_atom_site_fract_x
_atom_site_fract_y
_atom_site_fract_z
Ce1 0.000 0.000 0.000
Ce2 0.391 0.844 0.778
Pr1 0.169 0.143 0.331
Pr2 0.222 0.699 0.448
Y1 0.545 0.538 0.088
Y2 0.846 0.306 0.691
```



No. 4
This record from the Alexandria database describes crystalline ScPb at its relaxed geometry. The functional is PBE.

* Fermi-level density of states: 2.95 states/eV/cell
* energy of formation from the pure elements: -0.27 eV/atom
* calculated total energy: -5.29 eV/atom
* space-group type: No. 71

The structure in CIF format:
```
data_ScPb
_cell_length_a 3.483
_cell_length_b 4.993
_cell_length_c 6.035
_cell_angle_alpha 90.00
_cell_angle_beta 90.00
_cell_angle_gamma 90.00
_symmetry_space_group_name_H-M 'P 1'
_symmetry_Int_Tables_number 1
_symmetry_space_group_name_Hall 'P 1'
loop_
_atom_site_label
_atom_site_fract_x
_atom_site_fract_y
_atom_site_fract_z
Sc1 0.000 0.000 0.000
Sc2 0.500 0.500 0.500
Pb1 0.000 0.000 0.500
Pb2 0.500 0.500 0.000
```